(1)
Compound: LiNb2PSe
Source: Alexandria
Functional: GGA-PBE
Structure: relaxed

Cell and atoms, written as POSCAR:
```
LiNb2PSe
1.0
-4.6946 -0.1525 0.5995
0.4647 -2.8702 2.9085
0.3106 3.3879 3.2936
Nb Se Li P
2 1 1 1
Cartesian
0.1553 1.6939 1.6468
-2.3473 -0.0763 0.2998
-1.9597 0.1826 3.4009
0.2323 -1.4351 1.4543
0.0000 0.0000 0.0000
```

Results
* symmetry: P4/mmm

=====

(2)
Compound: SiPb3
Source: Alexandria
Functional: GGA-PBE
Structure: relaxed

Cell and atoms, written as POSCAR:
```
SiPb3
1.0
-0.3986 2.1628 2.6332
-3.8016 -3.0313 1.9143
4.3267 -3.3006 3.3660
Pb Si
3 1
Cartesian
0.1723 -0.1315 0.1341
1.2939 -3.0234 4.9141
1.8708 -0.4978 2.9271
-0.3262 -2.7169 2.1821
```

Results
* energy above the most stable polymorph in this dataset: 0.31 eV/f.u.
* symmetry: Pmm2

=====

Ρ
In order: 5.45; 9.40
Unit: g/cm³
Energy relative to the elements, uncorrected
In order: 0.0786; 0.3483
Unit: eV/atom